No. 1
Material: Dy2PaBr
Method: DFT, GGA-PBE
State: relaxed

Cell: 11.465 11.465 11.465 Å, 16.72 16.72 16.72°
Element x y z (fractional)
Dy 0.096 0.096 0.096
Dy 0.904 0.904 0.904
Pa 0.000 0.000 0.000
Br 0.500 0.500 0.500

Computed properties:
- calculated volume (Å³/cell) = 109
- crystal system = trigonal
- space group = R-3m (166)
- E_form (uncorrected) (eV/f.u.) = -0.47


No. 2
Material: Tl2InTcBi
Method: DFT, GGA-PBE
State: relaxed

Cell: 5.595 5.595 5.301 Å, 90.00 90.00 90.00°
Element x y z (fractional)
Tl 0.000 0.500 0.000
Tl 0.500 0.000 0.000
In 0.000 0.000 0.000
Tc 0.000 0.000 0.500
Bi 0.500 0.500 0.500

Computed properties:
- calculated volume (Å³/cell) = 166
- crystal system = tetragonal
- space group = P4/mmm (123)
- energy relative to the elements (eV per atom) = 1.0515


No. 3
Material: HoCo3B3
Method: DFT, GGA-PBE
State: relaxed

Cell: 6.604 6.604 6.604 Å, 90.00 90.00 90.00°
Element x y z (fractional)
Ho 0.054 0.446 0.554
Ho 0.446 0.554 0.054
Ho 0.554 0.054 0.446
Ho 0.946 0.946 0.946
Co 0.103 0.603 0.897
Co 0.181 0.181 0.181
Co 0.206 0.794 0.294
Co 0.294 0.206 0.794
Co 0.319 0.819 0.681
Co 0.397 0.397 0.397
Co 0.603 0.897 0.103
Co 0.681 0.319 0.819
Co 0.706 0.706 0.706
Co 0.794 0.294 0.206
Co 0.819 0.681 0.319
Co 0.897 0.103 0.603
B 0.008 0.828 0.552
B 0.052 0.492 0.172
B 0.172 0.052 0.492
B 0.328 0.948 0.992
B 0.448 0.508 0.672
B 0.492 0.172 0.052
B 0.508 0.672 0.448
B 0.552 0.008 0.828
B 0.672 0.448 0.508
B 0.828 0.552 0.008
B 0.948 0.992 0.328
B 0.992 0.328 0.948

Computed properties:
- ΔE to the lowest computed polymorph (meV/atom) = 40
- calculated volume (Å³/cell) = 288
- crystal system = cubic
- space group = P2_13 (198)
- energy relative to the elements (eV per atom) = -0.1473


No. 4
Material: SmDyGaCo
Method: DFT, GGA-PBE
State: relaxed

Cell: 4.979 4.979 4.979 Å, 60.00 60.00 60.00°
Element x y z (fractional)
Sm 0.000 0.000 0.000
Dy 0.500 0.500 0.500
Ga 0.750 0.750 0.750
Co 0.250 0.250 0.250

Computed properties:
- ΔE to the lowest computed polymorph (meV/atom) = 71
- calculated volume (Å³/cell) = 87
- crystal system = cubic
- space group = F-43m (216)
- energy relative to the elements (eV per atom) = -0.2794


No. 5
Material: Cu2SbC
Method: DFT, GGA-PBE
State: relaxed

Cell: 4.327 4.327 4.327 Å, 60.00 60.00 60.00°
Element x y z (fractional)
Cu 0.250 0.250 0.250
Cu 0.750 0.750 0.750
Sb 0.000 0.000 0.000
C 0.500 0.500 0.500

Computed properties:
- ΔE to the lowest computed polymorph (meV/atom) = 548
- calculated volume (Å³/cell) = 57
- crystal system = cubic
- space group = Fm-3m (225)
- E_form (uncorrected) (eV/f.u.) = 5.30


No. 6
Material: CoIrPd2Rh
Method: DFT, GGA-PBE
State: relaxed

Cell: 4.849 4.849 4.610 Å, 90.00 90.00 90.00°
Element x y z (fractional)
Co 0.000 0.000 0.000
Ir 0.500 0.500 0.500
Pd 0.000 0.500 0.500
Pd 0.500 0.000 0.500
Rh 0.500 0.500 0.000

Computed properties:
- calculated volume (Å³/cell) = 108
- crystal system = tetragonal
- space group = P4/mmm (123)
- energy relative to the elements (eV per atom) = 1.5988